1.
Density functional theory data (PBE-GGA) for a relaxed structure of KCoSeN2.

Cell: 4.731 4.731 6.298 Å, 90.00 90.00 90.00°
Space group P4/mmm (No. 123)
One atom of each set of equivalent atoms:
K: 0.000 0.000 0.000
Co: 0.500 0.500 0.500
Se: 0.000 0.000 0.500
N: 0.000 0.500 0.000

VASP energy = -15.519 eV/cell
D(E_F) = 7.54 states/eV/f.u.
energy relative to the lowest polymorph listed for this composition = 1.566 eV/atom
formation energy (no corrections) = 247.4 kJ/mol of atoms
calculated volume = 141 Å³/cell

---

2.
Density functional theory data (PBE-GGA) for a relaxed structure of Pr6SmY2Tm.

Cell: 9.465 15.398 9.641 Å, 90.00 96.28 90.00°
Space group C2/c (No. 15)
One atom of each set of equivalent atoms:
Pr: 0.060 0.175 0.443
Pr: 0.094 0.388 0.616
Pr: 0.217 0.221 0.811
Sm: 0.000 0.032 0.750
Y: 0.249 0.453 0.950
Tm: 0.000 0.413 0.250

VASP energy = -198.552 eV/cell
D(E_F) = 14.97 states/eV/f.u.
calculated volume = 1397 Å³/cell
formation energy from the elements = 0.1158 eV per atom